(1)
Crystalline DyY2Rh at its relaxed geometry, computed with GGA-PBE.

ΔE_f = -0.517 eV/atom
D(E_F) = 19.7 states/eV/cell
total magnetization = 0.0 μB/cell

The structure in CIF format:
```
data_DyY2Rh
_space_group_name_H-M_alt 'P n m a'
_space_group_IT_number 62
_space_group_name_Hall '-P 2ac 2n'
_cell_length_a 7.179
_cell_length_b 9.488
_cell_length_c 6.361
_cell_angle_alpha 90.00
_cell_angle_beta 90.00
_cell_angle_gamma 90.00
loop_
_atom_site_label
_atom_site_type_symbol
_atom_site_fract_x
_atom_site_fract_y
_atom_site_fract_z
Dy1 Dy 0.036 0.250 0.139
Y1 Y 0.177 0.064 0.673
Rh1 Rh 0.118 0.750 0.452
```

=====

(2)
Crystalline DyY3Rh at its relaxed geometry, computed with GGA-PBE.

ΔE_f = -0.351 eV/atom
D(E_F) = 23.2 states/eV/cell
total magnetization = 2.8 μB/cell

The structure in CIF format:
```
data_DyY3Rh
_space_group_name_H-M_alt 'C 1 2/m 1'
_space_group_IT_number 12
_space_group_name_Hall '-C 2y'
_cell_length_a 11.782
_cell_length_b 8.603
_cell_length_c 8.105
_cell_angle_alpha 90.00
_cell_angle_beta 133.45
_cell_angle_gamma 90.00
loop_
_atom_site_label
_atom_site_type_symbol
_atom_site_fract_x
_atom_site_fract_y
_atom_site_fract_z
Dy1 Dy 0.052 0.000 0.344
Y1 Y 0.051 0.500 0.262
Y2 Y 0.247 0.198 0.207
Rh1 Rh 0.248 0.000 0.872
```

=====

(3)
Crystalline Dy2Y2Rh3 at its relaxed geometry, computed with GGA-PBE.

ΔE_f = -0.766 eV/atom
D(E_F) = 6.9 states/eV/cell
total magnetization = 0.0 μB/cell

The structure in CIF format:
```
data_Dy2Y2Rh3
_space_group_name_H-M_alt 'C 1 2/m 1'
_space_group_IT_number 12
_space_group_name_Hall '-C 2y'
_cell_length_a 8.370
_cell_length_b 4.824
_cell_length_c 8.378
_cell_angle_alpha 90.00
_cell_angle_beta 109.52
_cell_angle_gamma 90.00
loop_
_atom_site_label
_atom_site_type_symbol
_atom_site_fract_x
_atom_site_fract_y
_atom_site_fract_z
Dy1 Dy 0.125 0.000 0.375
Y1 Y 0.124 0.500 0.872
Rh1 Rh 0.000 0.000 0.000
Rh2 Rh 0.250 0.000 0.750
```

=====

(4)
Crystalline DyY3Rh at its relaxed geometry, computed with GGA-PBE.

ΔE_f = -0.211 eV/atom
D(E_F) = 8.0 states/eV/cell
total magnetization = 0.0 μB/cell

The structure in CIF format:
```
data_DyY3Rh
_space_group_name_H-M_alt 'P m -3 m'
_space_group_IT_number 221
_space_group_name_Hall '-P 4 2 3'
_cell_length_a 5.418
_cell_length_b 5.418
_cell_length_c 5.418
_cell_angle_alpha 90.00
_cell_angle_beta 90.00
_cell_angle_gamma 90.00
loop_
_atom_site_label
_atom_site_type_symbol
_atom_site_fract_x
_atom_site_fract_y
_atom_site_fract_z
Dy1 Dy 0.000 0.000 0.000
Y1 Y 0.000 0.500 0.500
Rh1 Rh 0.500 0.500 0.500
```